Material: BeAuBr
Method: DFT, PBE
State: relaxed

```
data_BeAuBr
_symmetry_space_group_name_H-M 'I 4 m m'
_symmetry_Int_Tables_number 107
_symmetry_space_group_name_Hall 'I 4 -2'
_cell_length_a 3.081
_cell_length_b 3.081
_cell_length_c 12.956
_cell_angle_alpha 90.00
_cell_angle_beta 90.00
_cell_angle_gamma 90.00
loop_
_atom_site_label
_atom_site_fract_x
_atom_site_fract_y
_atom_site_fract_z
Be1 0.000 0.000 0.000
Au1 0.000 0.000 0.396
Br1 0.000 0.000 0.621
```

Properties
**Fermi-level density of states**: 0.9 states/eV/f.u.
**Total DFT energy (no corrections)**: -2.693 eV per atom
**Energy relative to the elements, uncorrected**: 0.199 eV/atom



Material: Be4AuBr
Method: DFT, PBE
State: relaxed

```
data_Be4AuBr
_symmetry_space_group_name_H-M 'F -4 3 m'
_symmetry_Int_Tables_number 216
_symmetry_space_group_name_Hall 'F -4 2 3'
_cell_length_a 6.746
_cell_length_b 6.746
_cell_length_c 6.746
_cell_angle_alpha 90.00
_cell_angle_beta 90.00
_cell_angle_gamma 90.00
loop_
_atom_site_label
_atom_site_fract_x
_atom_site_fract_y
_atom_site_fract_z
Be1 0.124 0.124 0.376
Au1 0.250 0.250 0.750
Br1 0.000 0.000 0.000
```

Properties
**Fermi-level density of states**: 2.7 states/eV/f.u.
**Total DFT energy (no corrections)**: -2.720 eV per atom
**Energy relative to the elements, uncorrected**: 0.589 eV/atom



Material: BeAuBr
Method: DFT, PBE
State: relaxed

```
data_BeAuBr
_symmetry_space_group_name_H-M 'F m m 2'
_symmetry_Int_Tables_number 42
_symmetry_space_group_name_Hall 'F 2 -2'
_cell_length_a 3.158
_cell_length_b 7.329
_cell_length_c 13.101
_cell_angle_alpha 90.00
_cell_angle_beta 90.00
_cell_angle_gamma 90.00
loop_
_atom_site_label
_atom_site_fract_x
_atom_site_fract_y
_atom_site_fract_z
Be1 0.000 0.000 0.000
Au1 0.000 0.000 0.627
Br1 0.000 0.000 0.381
```

Properties
**Fermi-level density of states**: 0.2 states/eV/f.u.
**Total DFT energy (no corrections)**: -2.950 eV per atom
**Energy relative to the elements, uncorrected**: -0.057 eV/atom